a) PBE HfTi3Tl, optimized geometry; space group = I4mm, No. 107
1.0
-1.915 1.915 6.974
1.915 -1.915 6.974
1.915 1.915 -6.974
Hf Ti Tl
1 3 1
Direct
0.000 0.000 0.000 Hf
0.299 0.799 0.500 Ti
0.432 0.432 0.000 Ti
0.799 0.299 0.500 Ti
0.632 0.632 0.000 Tl

b) PBE HfTi3Tl, optimized geometry; space group = Pm-3m, No. 221
1.0
5.020 0.000 0.000
0.000 5.020 0.000
0.000 0.000 5.020
Hf Ti Tl
1 3 1
Direct
0.000 0.000 0.000 Hf
0.000 0.500 0.500 Ti
0.500 0.000 0.500 Ti
0.500 0.500 0.000 Ti
0.500 0.500 0.500 Tl

Stability, lowest: b)

a) PBE Hf3Ti2Tl, optimized geometry; space group = Cmmm, No. 65
1.0
2.179 -6.767 0.000
2.179 6.767 0.000
0.000 0.000 4.203
Hf Ti Tl
3 2 1
Direct
0.000 0.000 0.000 Hf
0.330 0.670 0.000 Hf
0.670 0.330 0.000 Hf
0.176 0.824 0.500 Ti
0.824 0.176 0.500 Ti
0.500 0.500 0.500 Tl

b) PBE Hf3Ti2Tl, optimized geometry; space group = P4/mmm, No. 123
1.0
3.090 0.000 0.000
0.000 3.090 0.000
0.000 0.000 13.192
Hf Ti Tl
3 2 1
Direct
0.000 0.000 0.000 Hf
0.000 0.000 0.312 Hf
0.000 0.000 0.688 Hf
0.500 0.500 0.159 Ti
0.500 0.500 0.841 Ti
0.500 0.500 0.500 Tl

Stability, lowest: b)

a) PBE HfZrTiTl, optimized geometry; space group = F-43m, No. 216
1.0
0.000 3.497 3.497
3.497 0.000 3.497
3.497 3.497 0.000
Hf Zr Ti Tl
1 1 1 1
Direct
0.000 0.000 0.000 Hf
0.500 0.500 0.500 Zr
0.750 0.750 0.750 Ti
0.250 0.250 0.250 Tl

b) PBE HfZrTiTl, optimized geometry; space group = P4mm, No. 99
1.0
3.095 0.000 0.000
0.000 3.095 0.000
0.000 0.000 9.084
Hf Zr Ti Tl
1 1 1 1
Direct
0.000 0.000 0.000 Hf
0.000 0.000 0.452 Zr
0.500 0.500 0.221 Ti
0.500 0.500 0.726 Tl

Stability, lowest: a)

a) PBE TmHfTi, optimized geometry; space group = P3m1, No. 156
1.0
3.185 0.000 0.000
-1.593 2.758 0.000
0.000 0.000 7.779
Tm Hf Ti
1 1 1
Direct
0.000 0.000 0.000 Tm
0.333 0.667 0.636 Hf
0.667 0.333 0.338 Ti

b) PBE TmHfTi, optimized geometry; space group = R-3m, No. 166
1.0
1.599 0.923 15.421
-1.599 0.923 15.421
0.000 -1.847 15.421
Tm Hf Ti
2 2 2
Direct
0.133 0.133 0.133 Tm
0.867 0.867 0.867 Tm
0.408 0.408 0.408 Hf
0.592 0.592 0.592 Hf
0.310 0.310 0.310 Ti
0.690 0.690 0.690 Ti

Stability, lowest: a)

a) PBE Hf2UTi, optimized geometry; space group = Fm-3m, No. 225
1.0
0.000 3.454 3.454
3.454 0.000 3.454
3.454 3.454 0.000
Hf U Ti
2 1 1
Direct
0.250 0.250 0.250 Hf
0.750 0.750 0.750 Hf
0.000 0.000 0.000 U
0.500 0.500 0.500 Ti

b) PBE Hf2UTi, optimized geometry; space group = P4/mmm, No. 123
1.0
3.506 0.000 0.000
0.000 3.506 0.000
0.000 0.000 6.776
Hf U Ti
2 1 1
Direct
0.000 0.000 0.247 Hf
0.000 0.000 0.753 Hf
0.500 0.500 0.500 U
0.500 0.500 0.000 Ti

Stability, lowest: b)

a) PBE HfTiW2, optimized geometry; space group = I-42d, No. 122
1.0
-3.669 3.669 2.744
3.669 -3.669 2.744
3.669 3.669 -2.744
Hf Ti W
2 2 4
Direct
0.000 0.000 0.000 Hf
0.750 0.250 0.500 Hf
0.250 0.750 0.500 Ti
0.500 0.500 0.000 Ti
0.142 0.625 0.017 W
0.375 0.392 0.517 W
0.608 0.125 0.983 W
0.875 0.858 0.483 W

b) PBE HfTiW2, optimized geometry; space group = Fm-3m, No. 225
1.0
0.000 3.255 3.255
3.255 0.000 3.255
3.255 3.255 0.000
Hf Ti W
1 1 2
Direct
0.000 0.000 0.000 Hf
0.500 0.500 0.500 Ti
0.250 0.250 0.250 W
0.750 0.750 0.750 W

Stability, lowest: a)

a) PBE HfTi3W, optimized geometry; space group = Cmcm, No. 63
1.0
2.839 -6.239 0.000
2.839 6.239 0.000
0.000 0.000 5.239
Hf Ti W
2 6 2
Direct
0.082 0.918 0.750 Hf
0.918 0.082 0.250 Hf
0.104 0.404 0.750 Ti
0.315 0.685 0.250 Ti
0.404 0.104 0.250 Ti
0.596 0.896 0.750 Ti
0.685 0.315 0.750 Ti
0.896 0.596 0.250 Ti
0.500 0.500 0.000 W
0.500 0.500 0.500 W

b) PBE HfTi3W, optimized geometry; space group = Pm-3m, No. 221
1.0
4.748 0.000 0.000
0.000 4.748 0.000
0.000 0.000 4.748
Hf Ti W
1 3 1
Direct
0.000 0.000 0.000 Hf
0.000 0.500 0.500 Ti
0.500 0.000 0.500 Ti
0.500 0.500 0.000 Ti
0.500 0.500 0.500 W

c) PBE HfTi3W, optimized geometry; space group = Pm-3m, No. 221
1.0
4.664 0.000 0.000
0.000 4.664 0.000
0.000 0.000 4.664
Hf Ti W
1 3 1
Direct
0.000 0.000 0.000 Hf
0.000 0.000 0.500 Ti
0.000 0.500 0.000 Ti
0.500 0.000 0.000 Ti
0.500 0.500 0.500 W

Stability, lowest: c)

a) PBE Y2HfTi2, optimized geometry; space group = I4/mmm, No. 139
1.0
-2.132 2.132 6.655
2.132 -2.132 6.655
2.132 2.132 -6.655
Y Hf Ti
2 1 2
Direct
0.250 0.750 0.500 Y
0.750 0.250 0.500 Y
0.000 0.000 0.000 Hf
0.418 0.418 0.000 Ti
0.582 0.582 0.000 Ti

b) PBE Y2HfTi2, optimized geometry; space group = P4/mbm, No. 127
1.0
8.112 0.000 0.000
0.000 8.112 0.000
0.000 0.000 3.620
Y Hf Ti
4 2 4
Direct
0.174 0.326 0.000 Y
0.326 0.826 0.000 Y
0.674 0.174 0.000 Y
0.826 0.674 0.000 Y
0.000 0.000 0.500 Hf
0.500 0.500 0.500 Hf
0.122 0.622 0.500 Ti
0.378 0.122 0.500 Ti
0.622 0.878 0.500 Ti
0.878 0.378 0.500 Ti

Stability, lowest: a)